[1]
Density functional theory data (PBE-GGA) for a relaxed structure of GdPaMnOs. Values from VASP.

Cell and atoms, written as Quantum ESPRESSO input:
```
&SYSTEM
  ibrav = 0, nat = 4, ntyp = 4
/
ATOMIC_SPECIES
Mn 54.94 Mn.upf
Os 190.23 Os.upf
Pa 231.04 Pa.upf
Gd 157.25 Gd.upf
ATOMIC_POSITIONS crystal
Mn 0.000 0.000 0.000
Os 0.500 0.500 0.500
Pa 0.750 0.750 0.750
Gd 0.250 0.250 0.250
CELL_PARAMETERS angstrom
-4.401 0.145 2.038
-1.015 -2.857 3.788
-0.567 1.934 4.414
```

---

[2]
Density functional theory data (PBE-GGA) for a relaxed structure of GdPuMnOs. Values from VASP.

Cell and atoms, written as Quantum ESPRESSO input:
```
&SYSTEM
  ibrav = 0, nat = 4, ntyp = 4
/
ATOMIC_SPECIES
Mn 54.94 Mn.upf
Os 190.23 Os.upf
Pu 244.00 Pu.upf
Gd 157.25 Gd.upf
ATOMIC_POSITIONS crystal
Mn 0.500 0.500 0.500
Os 0.000 0.000 0.000
Pu 0.250 0.250 0.250
Gd 0.750 0.750 0.750
CELL_PARAMETERS angstrom
-1.247 -1.459 -4.448
-2.602 -4.044 -0.582
-4.619 0.277 -1.434
```

---

[3]
Density functional theory data (PBE-GGA) for a relaxed structure of TbGdMnOs. Values from VASP.

Cell and atoms, written as Quantum ESPRESSO input:
```
&SYSTEM
  ibrav = 0, nat = 4, ntyp = 4
/
ATOMIC_SPECIES
Gd 157.25 Gd.upf
Mn 54.94 Mn.upf
Tb 158.93 Tb.upf
Os 190.23 Os.upf
ATOMIC_POSITIONS crystal
Gd 0.750 0.750 0.750
Mn 0.000 0.000 0.000
Tb 0.250 0.250 0.250
Os 0.500 0.500 0.500
CELL_PARAMETERS angstrom
4.932 0.000 0.000
2.466 4.272 0.000
2.466 1.424 4.027
```

---

[4]
Density functional theory data (PBE-GGA) for a relaxed structure of GdZrMnOs. Values from VASP.

Cell and atoms, written as Quantum ESPRESSO input:
```
&SYSTEM
  ibrav = 0, nat = 4, ntyp = 4
/
ATOMIC_SPECIES
Os 190.23 Os.upf
Mn 54.94 Mn.upf
Gd 157.25 Gd.upf
Zr 91.22 Zr.upf
ATOMIC_POSITIONS crystal
Os 0.000 0.000 0.000
Mn 0.500 0.500 0.500
Gd 0.250 0.250 0.250
Zr 0.750 0.750 0.750
CELL_PARAMETERS angstrom
4.769 0.000 0.000
2.385 4.130 0.000
2.385 1.377 3.894
```

---

[5]
Density functional theory data (PBE-GGA) for a relaxed structure of GdPaMn2. Values from VASP.

Calculated values
Energy above the lowest structure with this stoichiometry, meV per atom: 136

Cell and atoms, written as Quantum ESPRESSO input:
```
&SYSTEM
  ibrav = 0, nat = 4, ntyp = 3
/
ATOMIC_SPECIES
Pa 231.04 Pa.upf
Mn 54.94 Mn.upf
Gd 157.25 Gd.upf
ATOMIC_POSITIONS crystal
Pa 0.500 0.500 0.500
Mn 0.750 0.750 0.750
Mn 0.250 0.250 0.250
Gd 0.000 0.000 0.000
CELL_PARAMETERS angstrom
-2.015 -4.348 0.065
-0.297 -2.443 4.113
-4.257 -0.637 2.107
```

---

[6]
Density functional theory data (PBE-GGA) for a relaxed structure of GdPa2Mn. Values from VASP.

Cell and atoms, written as Quantum ESPRESSO input:
```
&SYSTEM
  ibrav = 0, nat = 4, ntyp = 3
/
ATOMIC_SPECIES
Pa 231.04 Pa.upf
Mn 54.94 Mn.upf
Gd 157.25 Gd.upf
ATOMIC_POSITIONS crystal
Pa 0.277 0.277 0.169
Mn 0.000 0.000 0.000
Pa 0.723 0.723 0.831
Gd 0.500 0.500 0.500
CELL_PARAMETERS angstrom
4.316 0.000 0.000
2.158 3.738 0.000
2.158 1.246 6.030
```

---

[7]
Density functional theory data (PBE-GGA) for a relaxed structure of GdPaMn4. Values from VASP.

Cell and atoms, written as Quantum ESPRESSO input:
```
&SYSTEM
  ibrav = 0, nat = 6, ntyp = 3
/
ATOMIC_SPECIES
Mn 54.94 Mn.upf
Gd 157.25 Gd.upf
Pa 231.04 Pa.upf
ATOMIC_POSITIONS crystal
Mn 0.624 0.624 0.127
Mn 0.127 0.624 0.624
Gd 0.000 0.000 0.000
Pa 0.250 0.250 0.250
Mn 0.624 0.127 0.624
Mn 0.624 0.624 0.624
CELL_PARAMETERS angstrom
-1.877 -2.216 4.238
0.251 -5.101 0.558
3.198 -2.051 3.458
```

---

[8]
Density functional theory data (PBE-GGA) for a relaxed structure of GdPaMn2. Values from VASP.

Calculated values
Energy above the lowest structure with this stoichiometry, meV per atom: 5

Cell and atoms, written as Quantum ESPRESSO input:
```
&SYSTEM
  ibrav = 0, nat = 4, ntyp = 3
/
ATOMIC_SPECIES
Pa 231.04 Pa.upf
Gd 157.25 Gd.upf
Mn 54.94 Mn.upf
ATOMIC_POSITIONS crystal
Pa 0.500 0.500 0.500
Gd 0.000 0.000 0.000
Mn 0.203 0.203 0.390
Mn 0.797 0.797 0.610
CELL_PARAMETERS angstrom
-0.176 3.630 -2.314
0.885 -0.087 -4.215
-4.643 0.303 -3.182
```

---

[9]
Density functional theory data (PBE-GGA) for a relaxed structure of GdPaMn2. Values from VASP.

Calculated values
Energy above the lowest structure with this stoichiometry, meV per atom: 0

Cell and atoms, written as Quantum ESPRESSO input:
```
&SYSTEM
  ibrav = 0, nat = 4, ntyp = 3
/
ATOMIC_SPECIES
Mn 54.94 Mn.upf
Gd 157.25 Gd.upf
Pa 231.04 Pa.upf
ATOMIC_POSITIONS crystal
Mn 0.000 0.000 0.201
Mn 0.000 0.000 0.799
Gd 0.500 0.500 0.500
Pa 0.500 0.500 0.000
CELL_PARAMETERS angstrom
3.366 0.000 0.000
0.000 3.366 0.000
0.000 0.000 7.003
```

---

[10]
Density functional theory data (PBE-GGA) for a relaxed structure of GdPaMnRu. Values from VASP.

Cell and atoms, written as Quantum ESPRESSO input:
```
&SYSTEM
  ibrav = 0, nat = 4, ntyp = 4
/
ATOMIC_SPECIES
Gd 157.25 Gd.upf
Ru 101.07 Ru.upf
Mn 54.94 Mn.upf
Pa 231.04 Pa.upf
ATOMIC_POSITIONS crystal
Gd 0.500 0.500 0.500
Ru 0.250 0.250 0.250
Mn 0.750 0.750 0.750
Pa 0.000 0.000 0.000
CELL_PARAMETERS angstrom
4.838 0.000 0.000
2.419 4.190 0.000
2.419 1.397 3.950
```

---

[11]
Density functional theory data (PBE-GGA) for a relaxed structure of GdMnPd2. Values from VASP.

Calculated values
Energy above the lowest structure with this stoichiometry, meV per atom: 0

Cell and atoms, written as Quantum ESPRESSO input:
```
&SYSTEM
  ibrav = 0, nat = 4, ntyp = 3
/
ATOMIC_SPECIES
Pd 106.42 Pd.upf
Gd 157.25 Gd.upf
Mn 54.94 Mn.upf
ATOMIC_POSITIONS crystal
Pd 0.216 0.216 0.352
Pd 0.784 0.784 0.648
Gd 0.000 0.000 0.000
Mn 0.500 0.500 0.500
CELL_PARAMETERS angstrom
-2.371 -3.781 -0.098
1.537 -3.541 -2.242
1.861 -3.878 2.958
```

---

[12]
Density functional theory data (PBE-GGA) for a relaxed structure of GdMnPd2. Values from VASP.

Calculated values
Energy above the lowest structure with this stoichiometry, meV per atom: 39

Cell and atoms, written as Quantum ESPRESSO input:
```
&SYSTEM
  ibrav = 0, nat = 4, ntyp = 3
/
ATOMIC_SPECIES
Pd 106.42 Pd.upf
Mn 54.94 Mn.upf
Gd 157.25 Gd.upf
ATOMIC_POSITIONS crystal
Pd 0.000 0.000 0.218
Mn 0.500 0.500 0.000
Gd 0.500 0.500 0.500
Pd 0.000 0.000 0.782
CELL_PARAMETERS angstrom
3.331 0.076 -0.398
-0.400 0.116 -3.329
-0.122 6.599 0.244
```

---

[13]
Density functional theory data (PBE-GGA) for a relaxed structure of GdMnPd2. Values from VASP.

Calculated values
Energy above the lowest structure with this stoichiometry, meV per atom: 45

Cell and atoms, written as Quantum ESPRESSO input:
```
&SYSTEM
  ibrav = 0, nat = 4, ntyp = 3
/
ATOMIC_SPECIES
Pd 106.42 Pd.upf
Mn 54.94 Mn.upf
Gd 157.25 Gd.upf
ATOMIC_POSITIONS crystal
Pd 0.000 0.000 0.500
Mn 0.500 0.000 0.000
Pd 0.000 0.500 0.000
Gd 0.500 0.500 0.500
CELL_PARAMETERS angstrom
3.812 0.000 0.000
0.000 4.377 0.000
0.000 0.000 4.377
```

---

[14]
Density functional theory data (PBE-GGA) for a relaxed structure of GdMnPdPt. Values from VASP.

Cell and atoms, written as Quantum ESPRESSO input:
```
&SYSTEM
  ibrav = 0, nat = 4, ntyp = 4
/
ATOMIC_SPECIES
Gd 157.25 Gd.upf
Pd 106.42 Pd.upf
Pt 195.08 Pt.upf
Mn 54.94 Mn.upf
ATOMIC_POSITIONS crystal
Gd 0.000 0.000 0.000
Pd 0.750 0.750 0.750
Pt 0.250 0.250 0.250
Mn 0.500 0.500 0.500
CELL_PARAMETERS angstrom
4.742 0.000 0.000
2.371 4.107 0.000
2.371 1.369 3.872
```

---

[15]
Density functional theory data (PBE-GGA) for a relaxed structure of GdMnPdRh. Values from VASP.

Cell and atoms, written as Quantum ESPRESSO input:
```
&SYSTEM
  ibrav = 0, nat = 4, ntyp = 4
/
ATOMIC_SPECIES
Pd 106.42 Pd.upf
Gd 157.25 Gd.upf
Mn 54.94 Mn.upf
Rh 102.91 Rh.upf
ATOMIC_POSITIONS crystal
Pd 0.000 0.000 0.000
Gd 0.250 0.250 0.250
Mn 0.750 0.750 0.750
Rh 0.500 0.500 0.500
CELL_PARAMETERS angstrom
4.675 0.000 0.000
2.338 4.049 0.000
2.338 1.350 3.817
```

---

Number 1: VASP energy -10.983 eV per atom, Fermi-level density of states 4.83 states/eV per cell. Number 2: VASP energy -12.191 eV per atom, Fermi-level density of states 5.55 states/eV per cell. Number 3: VASP energy -9.720 eV per atom, Fermi-level density of states 2.59 states/eV per cell. Number 4: VASP energy -10.799 eV per atom, Fermi-level density of states 4.06 states/eV per cell. Number 5: VASP energy -10.259 eV per atom, Fermi-level density of states 5.52 states/eV per cell. Number 6: VASP energy -10.129 eV per atom, Fermi-level density of states 8.03 states/eV per cell. Number 7: VASP energy -9.999 eV per atom, Fermi-level density of states 6.75 states/eV per cell. Number 8: VASP energy -10.389 eV per atom, Fermi-level density of states 6.27 states/eV per cell. Number 9: VASP energy -10.394 eV per atom, Fermi-level density of states 5.60 states/eV per cell. Number 10: VASP energy -10.556 eV per atom, Fermi-level density of states 4.51 states/eV per cell. Number 11: VASP energy -8.917 eV per atom, Fermi-level density of states 1.96 states/eV per cell. Number 12: VASP energy -8.879 eV per atom, Fermi-level density of states 1.64 states/eV per cell. Number 13: VASP energy -8.872 eV per atom, Fermi-level density of states 2.85 states/eV per cell. Number 14: VASP energy -9.212 eV per atom, Fermi-level density of states 2.62 states/eV per cell. Number 15: VASP energy -9.392 eV per atom, Fermi-level density of states 2.28 states/eV per cell.